Record 1
{
  "formula": "NaZn2In",
  "functional": "GGA-PBE",
  "state": "relaxed",
  "space_group": "P4/mmm",
  "volume_a3_per_cell": 86,
  "rho_g_cm3": 5.205,
  "formation_energy_ev_per_atom": 0.0688,
  "lattice_angstrom": [[3.6759, 0.0000, 0.0000], [0.0000, 3.6759, 0.0000], [0.0000, 0.0000, 6.3419]],
  "species": ["Na", "Zn", "Zn", "In"],
  "fractional_positions": [[0.0000, 0.0000, 0.0000], [0.5000, 0.5000, 0.2591], [0.5000, 0.5000, 0.7409], [0.0000, 0.0000, 0.5000]]
}

Record 2
{
  "formula": "Na2Zn4In5",
  "functional": "GGA-PBE",
  "state": "relaxed",
  "space_group": "C2/m",
  "volume_a3_per_cell": 259,
  "rho_g_cm3": 5.656,
  "formation_energy_ev_per_atom": 0.0176,
  "lattice_angstrom": [[6.4600, -3.0980, 0.0000], [6.4600, 3.0980, 0.0000], [-6.4056, 0.0000, 6.4677]],
  "species": ["Na", "Na", "Zn", "Zn", "Zn", "Zn", "In", "In", "In", "In", "In"],
  "fractional_positions": [[0.1981, 0.1981, 0.1986], [0.8019, 0.8019, 0.8014], [0.2543, 0.2543, 0.5901], [0.2544, 0.2544, 0.9195], [0.7456, 0.7456, 0.0805], [0.7457, 0.7457, 0.4099], [0.2542, 0.7458, 0.3221], [0.2542, 0.7458, 0.6779], [0.5000, 0.5000, 0.0000], [0.7458, 0.2542, 0.3221], [0.7458, 0.2542, 0.6779]]
}

Record 3
{
  "formula": "Na16ZnIn12",
  "functional": "GGA-PBE",
  "state": "relaxed",
  "space_group": "Cm",
  "volume_a3_per_cell": 809,
  "rho_g_cm3": 3.719,
  "formation_energy_ev_per_atom": -0.1059,
  "lattice_angstrom": [[5.8597, -8.3040, 0.0000], [5.8597, 8.3040, 0.0000], [-5.5914, 0.0000, 8.3086]],
  "species": ["Na", "Na", "Na", "Na", "Na", "Na", "Na", "Na", "Na", "Na", "Na", "Na", "Na", "Na", "Na", "Na", "Zn", "In", "In", "In", "In", "In", "In", "In", "In", "In", "In", "In", "In"],
  "fractional_positions": [[0.0000, 0.0000, 0.0000], [0.0023, 0.0023, 0.6461], [0.0065, 0.6841, 0.4100], [0.2808, 0.5838, 0.5879], [0.3102, 0.3102, 0.7141], [0.3186, 0.7100, 0.3035], [0.3746, 0.3746, 0.3352], [0.4089, 0.9964, 0.6825], [0.4204, 0.6774, 0.0128], [0.5838, 0.2808, 0.5879], [0.6468, 0.9972, 0.0020], [0.6774, 0.4204, 0.0128], [0.6841, 0.0065, 0.4100], [0.7100, 0.3186, 0.3035], [0.9964, 0.4089, 0.6825], [0.9972, 0.6468, 0.0020], [0.6768, 0.6768, 0.3554], [0.1751, 0.3594, 0.9861], [0.1831, 0.9972, 0.3672], [0.1860, 0.8053, 0.8119], [0.3594, 0.1751, 0.9861], [0.3647, 0.9958, 0.1801], [0.6300, 0.8187, 0.6277], [0.6310, 0.6310, 0.8135], [0.8053, 0.1860, 0.8119], [0.8128, 0.8128, 0.1898], [0.8187, 0.6300, 0.6277], [0.9958, 0.3647, 0.1801], [0.9972, 0.1831, 0.3672]]
}